No. 1
DFT (PBE-GGA) results for an optimized crystal structure of PtW5.

abc: 2.707 2.707 13.282
angles: 90.00 90.00 90.00
Sites, in units of the cell vectors:
Pt 0.000 0.000 0.000
W 0.000 0.000 0.328
W 0.000 0.000 0.672
W 0.500 0.500 0.158
W 0.500 0.500 0.500
W 0.500 0.500 0.842

The calculation puts the formation enthalpy at 0 K at 0.1676 eV/atom. The distance to the lowest polymorph of the same formula comes out at 75 meV per atom. The value obtained for the total energy is -0.4275 hartree per atom.

---

No. 2
DFT (PBE-GGA) results for an optimized crystal structure of PtW8.

abc: 6.897 6.897 6.897
angles: 93.16 93.16 152.82
Sites, in units of the cell vectors:
Pt 0.000 0.000 0.000
W 0.000 0.332 0.332
W 0.000 0.668 0.668
W 0.330 0.330 0.659
W 0.330 0.670 0.000
W 0.332 0.000 0.332
W 0.668 0.000 0.668
W 0.670 0.330 0.000
W 0.670 0.670 0.341

The calculation puts the formation enthalpy at 0 K at 0.0905 eV/atom. The value obtained for the total energy is -0.4445 hartree per atom.

---

No. 3
DFT (PBE-GGA) results for an optimized crystal structure of Pt4W.

abc: 2.774 2.774 12.281
angles: 95.91 95.91 60.06
Sites, in units of the cell vectors:
Pt 0.201 0.201 0.099
Pt 0.278 0.278 0.318
Pt 0.722 0.722 0.682
Pt 0.799 0.799 0.901
W 0.000 0.000 0.500

The calculation puts the formation enthalpy at 0 K at -0.0617 eV/atom. The value obtained for the total energy is -0.2751 hartree per atom.

---

No. 4
DFT (PBE-GGA) results for an optimized crystal structure of Pt3W.

abc: 4.856 9.129 5.666
angles: 90.00 90.00 90.00
Sites, in units of the cell vectors:
Pt 0.084 0.250 0.119
Pt 0.237 0.506 0.372
Pt 0.237 0.994 0.372
Pt 0.263 0.006 0.872
Pt 0.263 0.494 0.872
Pt 0.416 0.750 0.619
Pt 0.584 0.250 0.381
Pt 0.737 0.506 0.128
Pt 0.737 0.994 0.128
Pt 0.763 0.006 0.628
Pt 0.763 0.494 0.628
Pt 0.916 0.750 0.881
W 0.084 0.250 0.614
W 0.416 0.750 0.114
W 0.584 0.250 0.886
W 0.916 0.750 0.386

The calculation puts the formation enthalpy at 0 K at -0.1403 eV/atom. The value obtained for the total energy is -0.2907 hartree per atom.

---

No. 5
DFT (PBE-GGA) results for an optimized crystal structure of Pt4W.

abc: 5.035 5.035 5.035
angles: 109.47 109.47 109.47
Sites, in units of the cell vectors:
Pt 0.000 0.000 0.500
Pt 0.000 0.500 0.000
Pt 0.500 0.000 0.000
Pt 0.500 0.500 0.500
W 0.000 0.000 0.000

The calculation puts the formation enthalpy at 0 K at 0.4090 eV/atom. The value obtained for the total energy is -0.2578 hartree per atom.

---

No. 6
DFT (PBE-GGA) results for an optimized crystal structure of PtW7.

abc: 5.680 5.680 5.680
angles: 60.00 60.00 60.00
Sites, in units of the cell vectors:
Pt 0.000 0.000 0.000
W 0.000 0.000 0.500
W 0.000 0.500 0.000
W 0.000 0.500 0.500
W 0.500 0.000 0.000
W 0.500 0.000 0.500
W 0.500 0.500 0.000
W 0.500 0.500 0.500

The calculation puts the formation enthalpy at 0 K at 0.2290 eV/atom. The value obtained for the total energy is -0.4359 hartree per atom.

---

No. 7
DFT (PBE-GGA) results for an optimized crystal structure of PtW4.

abc: 4.707 4.707 4.707
angles: 90.00 90.00 90.00
Sites, in units of the cell vectors:
Pt 0.000 0.000 0.000
W 0.000 0.000 0.500
W 0.000 0.500 0.000
W 0.500 0.000 0.000
W 0.500 0.500 0.500

The calculation puts the formation enthalpy at 0 K at 2.4058 eV/atom. The distance to the lowest polymorph of the same formula comes out at 2294 meV per atom. The value obtained for the total energy is -0.3368 hartree per atom.

---

No. 8
DFT (PBE-GGA) results for an optimized crystal structure of Pt3W.

abc: 4.870 4.870 4.869
angles: 99.51 99.51 33.27
Sites, in units of the cell vectors:
Pt 0.000 0.000 0.000
Pt 0.246 0.246 0.742
Pt 0.754 0.754 0.258
W 0.500 0.500 0.500

The calculation puts the formation enthalpy at 0 K at -0.2236 eV/atom. The value obtained for the total energy is -0.2937 hartree per atom.

---

No. 9
DFT (PBE-GGA) results for an optimized crystal structure of Pt7W.

abc: 5.615 5.615 5.615
angles: 60.00 60.00 60.00
Sites, in units of the cell vectors:
Pt 0.000 0.000 0.000
Pt 0.000 0.000 0.500
Pt 0.000 0.500 0.000
Pt 0.000 0.500 0.500
Pt 0.500 0.000 0.000
Pt 0.500 0.000 0.500
Pt 0.500 0.500 0.000
W 0.500 0.500 0.500

The calculation puts the formation enthalpy at 0 K at -0.0837 eV/atom. The value obtained for the total energy is -0.2568 hartree per atom.

---

No. 10
DFT (PBE-GGA) results for an optimized crystal structure of Pt3W.

abc: 2.830 2.830 9.101
angles: 90.00 90.00 120.00
Sites, in units of the cell vectors:
Pt 0.000 0.000 0.000
Pt 0.667 0.333 0.262
Pt 0.667 0.333 0.738
W 0.000 0.000 0.500

The calculation puts the formation enthalpy at 0 K at -0.1796 eV/atom. The value obtained for the total energy is -0.2921 hartree per atom.

---

No. 11
DFT (PBE-GGA) results for an optimized crystal structure of Pt3W.

abc: 5.263 5.263 4.853
angles: 90.00 90.00 89.83
Sites, in units of the cell vectors:
Pt 0.038 0.962 0.750
Pt 0.119 0.523 0.250
Pt 0.477 0.881 0.250
Pt 0.523 0.119 0.750
Pt 0.881 0.477 0.750
Pt 0.962 0.038 0.250
W 0.384 0.616 0.750
W 0.616 0.384 0.250

The calculation puts the formation enthalpy at 0 K at 0.0593 eV/atom. The value obtained for the total energy is -0.2833 hartree per atom.

---

No. 12
DFT (PBE-GGA) results for an optimized crystal structure of PtW.

abc: 3.720 3.720 3.720
angles: 60.00 60.00 60.00
Sites, in units of the cell vectors:
Pt 0.000 0.000 0.000
W 0.500 0.500 0.500

The calculation puts the formation enthalpy at 0 K at 0.8404 eV/atom. The value obtained for the total energy is -0.3181 hartree per atom.